Density functional theory data (PBE with a Hubbard U) for an optimized crystal structure of FeCoF4.

Properties
Energy above the lowest structure with this stoichiometry, meV per atom: 0.0
Final energy, eV/atom: -5.336

abc: 5.800 4.758 5.791
angles: 90.00 111.27 90.00
Space group P2_1/c (No. 14)
Unique sites:
Fe (0.000, 0.000, 0.000) x2
Co (0.500, 0.000, 0.500) x2
F (0.156, 0.195, 0.355) x4
F (0.352, 0.702, 0.659) x4